(1)
# Th2Zn3Pd, optimized geometry, DFT PBE
data_Th2Zn3Pd
_space_group_name_H-M_alt 'F m m m'
_space_group_IT_number 69
_space_group_name_Hall '-F 2 2'
_cell_length_a 7.0081
_cell_length_b 9.1539
_cell_length_c 15.9696
_cell_angle_alpha 90.00
_cell_angle_beta 90.00
_cell_angle_gamma 90.00
loop_
_atom_site_label
_atom_site_type_symbol
_atom_site_fract_x
_atom_site_fract_y
_atom_site_fract_z
Th1 Th 0.2368 0.0000 0.0000
Th2 Th 0.2500 0.2500 0.2500
Zn1 Zn 0.0000 0.0000 0.3366
Zn2 Zn 0.0000 0.2462 0.4176
Pd1 Pd 0.0000 0.0000 0.1694
# Fermi-level density of states (states/eV per cell): 32.82
# DFT formation energy (meV/atom): -451

=====

(2)
# Tm12CdPd6, optimized geometry, DFT PBE
data_Tm12CdPd6
_space_group_name_H-M_alt 'I m -3'
_space_group_IT_number 204
_space_group_name_Hall '-I 2 2 3'
_cell_length_a 9.8066
_cell_length_b 9.8066
_cell_length_c 9.8066
_cell_angle_alpha 90.00
_cell_angle_beta 90.00
_cell_angle_gamma 90.00
loop_
_atom_site_label
_atom_site_type_symbol
_atom_site_fract_x
_atom_site_fract_y
_atom_site_fract_z
Tm1 Tm 0.0000 0.2947 0.1825
Cd1 Cd 0.0000 0.0000 0.0000
Pd1 Pd 0.0000 0.1382 0.5000
# Distance to the lowest polymorph of the same formula (eV per atom): 0.000
# Fermi-level density of states (states/eV per cell): 48.52
# DFT formation energy (meV/atom): -606

=====

(3)
# CaCe2Zn9, optimized geometry, DFT PBE
data_CaCe2Zn9
_space_group_name_H-M_alt 'R -3 m'
_space_group_IT_number 166
_space_group_name_Hall '-R 3 2"'
_cell_length_a 5.4290
_cell_length_b 5.4290
_cell_length_c 26.5116
_cell_angle_alpha 90.00
_cell_angle_beta 90.00
_cell_angle_gamma 120.00
loop_
_atom_site_label
_atom_site_type_symbol
_atom_site_fract_x
_atom_site_fract_y
_atom_site_fract_z
Ca1 Ca 0.0000 0.0000 0.0000
Ce1 Ce 0.0000 0.0000 0.1488
Zn1 Zn 0.0000 0.0000 0.3353
Zn2 Zn 0.0000 0.0000 0.5000
Zn3 Zn 0.0039 0.5019 0.9187
# Fermi-level density of states (states/eV per cell): 41.00
# DFT formation energy (meV/atom): -234

=====

(4)
# Ag3S, optimized geometry, DFT PBE
data_Ag3S
_space_group_name_H-M_alt 'C m c m'
_space_group_IT_number 63
_space_group_name_Hall '-C 2c 2'
_cell_length_a 6.9140
_cell_length_b 14.1666
_cell_length_c 3.1655
_cell_angle_alpha 90.00
_cell_angle_beta 90.00
_cell_angle_gamma 90.00
loop_
_atom_site_label
_atom_site_type_symbol
_atom_site_fract_x
_atom_site_fract_y
_atom_site_fract_z
Ag1 Ag 0.0000 0.2268 0.2500
Ag2 Ag 0.2008 0.0876 0.7500
S1 S 0.0000 0.3729 0.7500
# Fermi-level density of states (states/eV per cell): 3.19
# Raw formation energy (eV/atom): 0.1322

=====

(5)
# LaNiAs2, optimized geometry, DFT PBE
data_LaNiAs2
_space_group_name_H-M_alt 'P 1 2/m 1'
_space_group_IT_number 10
_space_group_name_Hall '-P 2y'
_cell_length_a 4.3893
_cell_length_b 3.9374
_cell_length_c 5.0462
_cell_angle_alpha 90.00
_cell_angle_beta 100.36
_cell_angle_gamma 90.00
loop_
_atom_site_label
_atom_site_type_symbol
_atom_site_fract_x
_atom_site_fract_y
_atom_site_fract_z
La1 La 0.0000 0.0000 0.0000
Ni1 Ni 0.5000 0.0000 0.5000
As1 As 0.3876 0.5000 0.7351
# Fermi-level density of states (states/eV per cell): 1.54
# DFT formation energy (meV/atom): -781

=====

(6)
# IrPd2Cl, optimized geometry, DFT PBE
data_IrPd2Cl
_space_group_name_H-M_alt 'I -4 2 d'
_space_group_IT_number 122
_space_group_name_Hall 'I -4 2bw'
_cell_length_a 7.1189
_cell_length_b 7.1189
_cell_length_c 5.3122
_cell_angle_alpha 90.00
_cell_angle_beta 90.00
_cell_angle_gamma 90.00
loop_
_atom_site_label
_atom_site_type_symbol
_atom_site_fract_x
_atom_site_fract_y
_atom_site_fract_z
Ir1 Ir 0.0000 0.0000 0.0000
Pd1 Pd 0.2463 0.2500 0.6250
Cl1 Cl 0.0000 0.0000 0.5000
# Distance to the lowest polymorph of the same formula (eV per atom): 0.000
# Fermi-level density of states (states/eV per cell): 26.83
# Raw formation energy (eV/atom): 0.6907

=====

(7)
# GdSnIr, optimized geometry, DFT PBE
data_GdSnIr
_space_group_name_H-M_alt 'I 4 m m'
_space_group_IT_number 107
_space_group_name_Hall 'I 4 -2'
_cell_length_a 3.3372
_cell_length_b 3.3372
_cell_length_c 11.6552
_cell_angle_alpha 90.00
_cell_angle_beta 90.00
_cell_angle_gamma 90.00
loop_
_atom_site_label
_atom_site_type_symbol
_atom_site_fract_x
_atom_site_fract_y
_atom_site_fract_z
Gd1 Gd 0.0000 0.0000 0.0000
Sn1 Sn 0.0000 0.0000 0.2919
Ir1 Ir 0.0000 0.0000 0.6583
# Fermi-level density of states (states/eV per cell): 3.93
# DFT formation energy (meV/atom): -513

=====

(8)
# HoPaAlTl, optimized geometry, DFT PBE
data_HoPaAlTl
_space_group_name_H-M_alt 'F -4 3 m'
_space_group_IT_number 216
_space_group_name_Hall 'F -4 2 3'
_cell_length_a 7.4089
_cell_length_b 7.4089
_cell_length_c 7.4089
_cell_angle_alpha 90.00
_cell_angle_beta 90.00
_cell_angle_gamma 90.00
loop_
_atom_site_label
_atom_site_type_symbol
_atom_site_fract_x
_atom_site_fract_y
_atom_site_fract_z
Ho1 Ho 0.0000 0.0000 0.0000
Pa1 Pa 0.0000 0.0000 0.5000
Al1 Al 0.2500 0.2500 0.2500
Tl1 Tl 0.2500 0.2500 0.7500
# Fermi-level density of states (states/eV per cell): 32.72
# DFT formation energy (meV/atom): 22

=====

(9)
# Pr4SbTe2Se, optimized geometry, DFT PBE
data_Pr4SbTe2Se
_space_group_name_H-M_alt 'P 1 2/m 1'
_space_group_IT_number 10
_space_group_name_Hall '-P 2y'
_cell_length_a 7.7148
_cell_length_b 4.4505
_cell_length_c 7.8443
_cell_angle_alpha 90.00
_cell_angle_beta 109.10
_cell_angle_gamma 90.00
loop_
_atom_site_label
_atom_site_type_symbol
_atom_site_fract_x
_atom_site_fract_y
_atom_site_fract_z
Pr1 Pr 0.2329 0.0000 0.2266
Pr2 Pr 0.2457 0.5000 0.7667
Sb1 Sb 0.5000 0.0000 0.0000
Te1 Te 0.0000 0.0000 0.5000
Te2 Te 0.5000 0.5000 0.5000
Se1 Se 0.0000 0.5000 0.0000
# Fermi-level density of states (states/eV per cell): 3.89
# Raw formation energy (eV/atom): -1.4980

=====

(10)
# LiSm6Cu5, optimized geometry, DFT PBE
data_LiSm6Cu5
_space_group_name_H-M_alt 'P 1 2/m 1'
_space_group_IT_number 10
_space_group_name_Hall '-P 2y'
_cell_length_a 5.0537
_cell_length_b 7.1091
_cell_length_c 8.0284
_cell_angle_alpha 90.00
_cell_angle_beta 108.45
_cell_angle_gamma 90.00
loop_
_atom_site_label
_atom_site_type_symbol
_atom_site_fract_x
_atom_site_fract_y
_atom_site_fract_z
Li1 Li 0.0000 0.0000 0.0000
Sm1 Sm 0.1708 0.2529 0.3414
Sm2 Sm 0.5000 0.2606 0.0000
Cu1 Cu 0.0000 0.5000 0.0000
Cu2 Cu 0.3324 0.5000 0.6656
Cu3 Cu 0.3460 0.0000 0.6901
# Fermi-level density of states (states/eV per cell): 8.20
# DFT formation energy (meV/atom): -132

=====

(11)
# Ba2TbNdS4, optimized geometry, DFT PBE
data_Ba2TbNdS4
_space_group_name_H-M_alt 'P 1 2/m 1'
_space_group_IT_number 10
_space_group_name_Hall '-P 2y'
_cell_length_a 7.2443
_cell_length_b 4.1886
_cell_length_c 7.5513
_cell_angle_alpha 90.00
_cell_angle_beta 108.69
_cell_angle_gamma 90.00
loop_
_atom_site_label
_atom_site_type_symbol
_atom_site_fract_x
_atom_site_fract_y
_atom_site_fract_z
Ba1 Ba 0.0000 0.0000 0.0000
Ba2 Ba 0.5000 0.5000 0.0000
Tb1 Tb 0.0000 0.5000 0.5000
Nd1 Nd 0.5000 0.0000 0.5000
S1 S 0.2315 0.0000 0.7131
S2 S 0.2541 0.5000 0.2833
# Fermi-level density of states (states/eV per cell): 3.70
# Raw formation energy (eV/atom): -2.0153

=====

(12)
# Sc3RhC4, optimized geometry, DFT PBE
data_Sc3RhC4
_space_group_name_H-M_alt 'I m m m'
_space_group_IT_number 71
_space_group_name_Hall '-I 2 2'
_cell_length_a 3.4051
_cell_length_b 4.4933
_cell_length_c 12.2928
_cell_angle_alpha 90.00
_cell_angle_beta 90.00
_cell_angle_gamma 90.00
loop_
_atom_site_label
_atom_site_type_symbol
_atom_site_fract_x
_atom_site_fract_y
_atom_site_fract_z
Sc1 Sc 0.0000 0.0000 0.0000
Sc2 Sc 0.0000 0.5000 0.1889
Rh1 Rh 0.0000 0.0000 0.5000
C1 C 0.0000 0.3400 0.3712
# Fermi-level density of states (states/eV per cell): 8.13
# DFT formation energy (meV/atom): -491

=====

(13)
# Tl2InBi3, optimized geometry, DFT PBE
data_Tl2InBi3
_space_group_name_H-M_alt 'C 1 2/c 1'
_space_group_IT_number 15
_space_group_name_Hall '-C 2yc'
_cell_length_a 8.8782
_cell_length_b 9.8729
_cell_length_c 8.8597
_cell_angle_alpha 90.00
_cell_angle_beta 100.67
_cell_angle_gamma 90.00
loop_
_atom_site_label
_atom_site_type_symbol
_atom_site_fract_x
_atom_site_fract_y
_atom_site_fract_z
Tl1 Tl 0.1245 0.2495 0.1240
In1 In 0.0000 0.4172 0.7500
Bi1 Bi 0.0000 0.0809 0.7500
Bi2 Bi 0.2492 0.4143 0.4935
# Fermi-level density of states (states/eV per cell): 10.73
# DFT formation energy (meV/atom): -13

=====

(14)
# Zn5Cu, optimized geometry, DFT PBE
data_Zn5Cu
_space_group_name_H-M_alt 'A m m 2'
_space_group_IT_number 38
_space_group_name_Hall 'A 2 -2'
_cell_length_a 4.2293
_cell_length_b 2.7807
_cell_length_c 14.5026
_cell_angle_alpha 90.00
_cell_angle_beta 90.00
_cell_angle_gamma 90.00
loop_
_atom_site_label
_atom_site_type_symbol
_atom_site_fract_x
_atom_site_fract_y
_atom_site_fract_z
Zn1 Zn 0.0000 0.0000 0.0000
Zn2 Zn 0.0000 0.0000 0.3224
Zn3 Zn 0.5000 0.0000 0.1090
Zn4 Zn 0.5000 0.0000 0.4377
Zn5 Zn 0.5000 0.0000 0.7690
Cu1 Cu 0.0000 0.0000 0.6609
# Fermi-level density of states (states/eV per cell): 3.30
# DFT formation energy (meV/atom): -31

=====

(15)
# KTc3S, optimized geometry, DFT PBE
data_KTc3S
_space_group_name_H-M_alt 'P m -3 m'
_space_group_IT_number 221
_space_group_name_Hall '-P 4 2 3'
_cell_length_a 4.5269
_cell_length_b 4.5269
_cell_length_c 4.5269
_cell_angle_alpha 90.00
_cell_angle_beta 90.00
_cell_angle_gamma 90.00
loop_
_atom_site_label
_atom_site_type_symbol
_atom_site_fract_x
_atom_site_fract_y
_atom_site_fract_z
K1 K 0.0000 0.0000 0.0000
Tc1 Tc 0.0000 0.5000 0.5000
S1 S 0.5000 0.5000 0.5000
# Distance to the lowest polymorph of the same formula (eV per atom): 0.000
# Fermi-level density of states (states/eV per cell): 4.67
# Raw formation energy (eV/atom): 0.9266

=====

(16)
# NdMnTlSe3, optimized geometry, DFT PBE
data_NdMnTlSe3
_space_group_name_H-M_alt 'P 1 21/m 1'
_space_group_IT_number 11
_space_group_name_Hall '-P 2yb'
_cell_length_a 9.1852
_cell_length_b 4.3040
_cell_length_c 9.8089
_cell_angle_alpha 90.00
_cell_angle_beta 104.62
_cell_angle_gamma 90.00
loop_
_atom_site_label
_atom_site_type_symbol
_atom_site_fract_x
_atom_site_fract_y
_atom_site_fract_z
Nd1 Nd 0.1666 0.2500 0.1465
Mn1 Mn 0.4165 0.7500 0.3929
Tl1 Tl 0.3018 0.7500 0.7856
Se1 Se 0.0502 0.2500 0.8386
Se2 Se 0.3015 0.2500 0.4692
Se3 Se 0.3891 0.7500 0.1347
# Raw formation energy (eV/atom): -1.0246

=====

(17)
# Na3Ac2PmO6, optimized geometry, DFT PBE
data_Na3Ac2PmO6
_space_group_name_H-M_alt 'C 1 2/m 1'
_space_group_IT_number 12
_space_group_name_Hall '-C 2y'
_cell_length_a 6.4417
_cell_length_b 11.2387
_cell_length_c 6.0515
_cell_angle_alpha 90.00
_cell_angle_beta 110.07
_cell_angle_gamma 90.00
loop_
_atom_site_label
_atom_site_type_symbol
_atom_site_fract_x
_atom_site_fract_y
_atom_site_fract_z
Na1 Na 0.0000 0.0000 0.0000
Na2 Na 0.0000 0.3494 0.0000
Ac1 Ac 0.0000 0.1675 0.5000
Pm1 Pm 0.0000 0.5000 0.5000
O1 O 0.2290 0.3414 0.7174
O2 O 0.2490 0.5000 0.2818
# Fermi-level density of states (states/eV per cell): 0.00
# Raw formation energy (eV/atom): -2.5624

=====

(18)
# La2Pr3Ho3, optimized geometry, DFT PBE
data_La2Pr3Ho3
_space_group_name_H-M_alt 'C m c m'
_space_group_IT_number 63
_space_group_name_Hall '-C 2c 2'
_cell_length_a 3.6561
_cell_length_b 17.9439
_cell_length_c 17.1884
_cell_angle_alpha 90.00
_cell_angle_beta 90.00
_cell_angle_gamma 90.00
loop_
_atom_site_label
_atom_site_type_symbol
_atom_site_fract_x
_atom_site_fract_y
_atom_site_fract_z
La1 La 0.0000 0.2147 0.1500
Pr1 Pr 0.0000 0.3560 0.0168
Pr2 Pr 0.0000 0.3897 0.2500
Ho1 Ho 0.0000 0.0076 0.1006
Ho2 Ho 0.0000 0.4238 0.7500
# Distance to the lowest polymorph of the same formula (eV per atom): 0.094
# Fermi-level density of states (states/eV per cell): 47.18
# DFT formation energy (meV/atom): 115

=====

(19)
# BaTaCd2, optimized geometry, DFT PBE
data_BaTaCd2
_space_group_name_H-M_alt 'F -4 3 m'
_space_group_IT_number 216
_space_group_name_Hall 'F -4 2 3'
_cell_length_a 7.5655
_cell_length_b 7.5655
_cell_length_c 7.5655
_cell_angle_alpha 90.00
_cell_angle_beta 90.00
_cell_angle_gamma 90.00
loop_
_atom_site_label
_atom_site_type_symbol
_atom_site_fract_x
_atom_site_fract_y
_atom_site_fract_z
Ba1 Ba 0.0000 0.0000 0.0000
Ta1 Ta 0.2500 0.2500 0.7500
Cd1 Cd 0.0000 0.0000 0.5000
Cd2 Cd 0.2500 0.2500 0.2500
# Distance to the lowest polymorph of the same formula (eV per atom): 0.495
# Fermi-level density of states (states/eV per cell): 11.63
# DFT formation energy (meV/atom): 815

=====

(20)
# LiTlPd2I, optimized geometry, DFT PBE
data_LiTlPd2I
_space_group_name_H-M_alt 'P 4/m m m'
_space_group_IT_number 123
_space_group_name_Hall '-P 4 2'
_cell_length_a 4.7779
_cell_length_b 4.7779
_cell_length_c 4.8602
_cell_angle_alpha 90.00
_cell_angle_beta 90.00
_cell_angle_gamma 90.00
loop_
_atom_site_label
_atom_site_type_symbol
_atom_site_fract_x
_atom_site_fract_y
_atom_site_fract_z
Li1 Li 0.0000 0.0000 0.0000
Tl1 Tl 0.5000 0.5000 0.5000
Pd1 Pd 0.0000 0.5000 0.0000
I1 I 0.0000 0.0000 0.5000
# Fermi-level density of states (states/eV per cell): 1.41
# Raw formation energy (eV/atom): 0.1729

=====

(21)
# Sr2RuAu, optimized geometry, DFT PBE
data_Sr2RuAu
_space_group_name_H-M_alt 'A m m 2'
_space_group_IT_number 38
_space_group_name_Hall 'A 2 -2'
_cell_length_a 4.5894
_cell_length_b 4.6406
_cell_length_c 10.9480
_cell_angle_alpha 90.00
_cell_angle_beta 90.00
_cell_angle_gamma 90.00
loop_
_atom_site_label
_atom_site_type_symbol
_atom_site_fract_x
_atom_site_fract_y
_atom_site_fract_z
Sr1 Sr 0.0000 0.0000 0.0000
Sr2 Sr 0.5000 0.0000 0.2857
Ru1 Ru 0.5000 0.0000 0.5929
Au1 Au 0.0000 0.0000 0.7022
# Fermi-level density of states (states/eV per cell): 9.57
# DFT formation energy (meV/atom): -55

=====

(22)
# AlZn4, optimized geometry, DFT PBE
data_AlZn4
_space_group_name_H-M_alt 'R -3 m'
_space_group_IT_number 166
_space_group_name_Hall '-R 3 2"'
_cell_length_a 2.8164
_cell_length_b 2.8164
_cell_length_c 33.7589
_cell_angle_alpha 90.00
_cell_angle_beta 90.00
_cell_angle_gamma 120.00
loop_
_atom_site_label
_atom_site_type_symbol
_atom_site_fract_x
_atom_site_fract_y
_atom_site_fract_z
Al1 Al 0.0000 0.0000 0.0000
Zn1 Zn 0.0000 0.0000 0.2001
Zn2 Zn 0.0000 0.0000 0.4003
# Distance to the lowest polymorph of the same formula (eV per atom): 0.000
# Fermi-level density of states (states/eV per cell): 1.98
# DFT formation energy (meV/atom): 9

=====

(23)
# CdP, optimized geometry, DFT PBE
data_CdP
_space_group_name_H-M_alt 'P 4/m'
_space_group_IT_number 83
_space_group_name_Hall '-P 4'
_cell_length_a 11.4878
_cell_length_b 11.4878
_cell_length_c 3.2273
_cell_angle_alpha 90.00
_cell_angle_beta 90.00
_cell_angle_gamma 90.00
loop_
_atom_site_label
_atom_site_type_symbol
_atom_site_fract_x
_atom_site_fract_y
_atom_site_fract_z
Cd1 Cd 0.0037 0.6251 0.0000
Cd2 Cd 0.3136 0.5142 0.5000
P1 P 0.1967 0.3093 0.5000
P2 P 0.2208 0.7058 0.0000
# Distance to the lowest polymorph of the same formula (eV per atom): 0.216
# Fermi-level density of states (states/eV per cell): 5.36
# DFT formation energy (meV/atom): 174

=====

(24)
# PmScGe, optimized geometry, DFT PBE
data_PmScGe
_space_group_name_H-M_alt 'F -4 3 m'
_space_group_IT_number 216
_space_group_name_Hall 'F -4 2 3'
_cell_length_a 6.8125
_cell_length_b 6.8125
_cell_length_c 6.8125
_cell_angle_alpha 90.00
_cell_angle_beta 90.00
_cell_angle_gamma 90.00
loop_
_atom_site_label
_atom_site_type_symbol
_atom_site_fract_x
_atom_site_fract_y
_atom_site_fract_z
Pm1 Pm 0.0000 0.0000 0.0000
Sc1 Sc 0.0000 0.0000 0.5000
Ge1 Ge 0.2500 0.2500 0.7500
# Distance to the lowest polymorph of the same formula (eV per atom): 0.180
# Fermi-level density of states (states/eV per cell): 11.18
# DFT formation energy (meV/atom): -521